# Ba3NbV2O9, relaxed, DFT PBE with a Hubbard U
# - Calculated total energy: -7.60 eV/atom
# - Spin magnetization: 0.200 μB/atom
# - Mass density: 6158 kg/m3
data_Ba3NbV2O9
_chemical_formula_sum 'Ba3 Nb1 V2 O9'
_symmetry_space_group_name_H-M 'P 1'
_symmetry_Int_Tables_number 1
_cell_length_a 5.770
_cell_length_b 5.770
_cell_length_c 7.022
_cell_angle_alpha 90.00
_cell_angle_beta 90.00
_cell_angle_gamma 120.00
loop_
_symmetry_equiv_pos_as_xyz
'x,y,z'
loop_
_atom_site_label
_atom_site_fract_x
_atom_site_fract_y
_atom_site_fract_z
Ba1 0.333 0.667 0.669
Ba2 0.000 0.000 0.000
Ba3 0.667 0.333 0.331
Nb1 0.000 0.000 0.500
V1 0.333 0.667 0.156
V2 0.667 0.333 0.844
O1 0.834 0.166 0.668
O2 0.834 0.668 0.668
O3 0.332 0.166 0.668
O4 0.668 0.834 0.332
O5 0.166 0.332 0.332
O6 0.166 0.834 0.332
O7 0.500 0.000 0.000
O8 0.000 0.500 0.000
O9 0.500 0.500 0.000